VASP calculation (PBE with a Hubbard U) on an optimized crystal structure of MgZn2WO6.

Geometry as POSCAR:
```
MgZn2WO6
1.0
-4.991 -1.359 0.902
-1.293 -2.426 4.473
-2.857 2.884 3.820
Mg Zn W O
1 2 1 6
Cartesian
-6.705 -1.494 6.496
-4.509 -0.787 4.433
-2.712 2.097 3.435
-2.141 -1.012 1.914
-3.873 -0.491 2.524
-3.087 -1.792 5.483
-6.240 -1.854 4.423
-5.252 0.003 6.457
-5.809 1.069 4.067
-3.296 1.083 4.984
```

The calculation puts the uncorrected energy at -6.02 eV/atom. As for the space-group type: R3.